The following is a DFT calculation (PBE-GGA) of an optimized crystal structure of Tl6HgO8.

Space group   R-3
Final energy   -4.09 eV/atom
Uncorrected formation energy   -0.4750 eV per atom
D(E_F)   0.2003 states/eV/atom

abc: 6.760 6.760 8.465
angles: 66.47 66.47 60.00
Sites, in units of the cell vectors:
O 0.837 0.598 0.367
Tl 0.522 0.921 0.313
O 0.802 0.163 0.633
O 0.272 0.272 0.185
O 0.728 0.728 0.815
Tl 0.478 0.079 0.687
Tl 0.079 0.756 0.687
Tl 0.921 0.244 0.313
O 0.198 0.837 0.367
O 0.163 0.402 0.633
Tl 0.244 0.522 0.313
O 0.598 0.198 0.367
Tl 0.756 0.478 0.687
Hg 0.000 0.000 0.000
O 0.402 0.802 0.633